[1]
The following is a PBEsol calculation of a geometry-optimized Ce2SiGe structure, from the Alexandria database.

Properties
Symmetry = Pmc2_1
Total DFT energy (no corrections) = -6.62 eV/atom

abc: 3.9005 5.7590 8.1277
angles: 90.00 90.00 90.00
Last column: magnetic moment on the atom in μB.
Element x y z (fractional)
Ce1 0.0000 0.1296 0.6840  0.54
Ce2 0.0000 0.8704 0.1840  0.54
Ce3 0.5000 0.3653 0.3170  0.55
Ce4 0.5000 0.6347 0.8170  0.55
Si1 0.5000 0.8832 0.4637  -0.01
Si2 0.5000 0.1168 0.9637  -0.01
Ge1 0.0000 0.6179 0.5353  0.00
Ge2 0.0000 0.3821 0.0353  0.00

***

[2]
The following is a PBEsol calculation of a geometry-optimized CeSiGe structure, from the Alexandria database.

Properties
Symmetry = I4_1md
Total DFT energy (no corrections) = -6.38 eV/atom

abc: 4.0646 4.0646 7.8623
angles: 104.98 104.98 90.00
Element x y z (fractional)
Ce1 0.6681 0.6681 0.3361
Ce2 0.9181 0.4181 0.8361
Si1 0.2497 0.2497 0.4995
Si2 0.4997 0.9997 0.9995
Ge1 0.0852 0.0852 0.1704
Ge2 0.3352 0.8352 0.6704

***

[3]
The following is a PBEsol calculation of a geometry-optimized CeTiGe3 structure, from the Alexandria database.

Properties
Symmetry = P6_3/mmc
Formation enthalpy at 0 K = -344.1 kJ/mol of formula units

abc: 5.7228 6.1732 6.1732
angles: 120.00 90.00 90.00
Last column: magnetic moment on the atom in μB.
Element x y z (fractional)
Ge1 0.7500 0.8026 0.1974  0.00
Ge2 0.2500 0.6052 0.8026  0.00
Ge3 0.7500 0.3948 0.1974  0.00
Ge4 0.2500 0.1974 0.8026  0.00
Ge5 0.2500 0.1974 0.3948  0.00
Ge6 0.7500 0.8026 0.6052  0.00
Ce1 0.7500 0.3333 0.6667  0.07
Ce2 0.2500 0.6667 0.3333  0.07
Ti1 0.5000 0.0000 0.0000  0.00
Ti2 0.0000 0.0000 0.0000  0.00

***

[4]
The following is a PBEsol calculation of a geometry-optimized CeZnGe structure, from the Alexandria database.

Properties
Symmetry = P6_3/mmc
Formation enthalpy at 0 K = -162.8 kJ/mol of formula units

abc: 4.1734 4.1734 8.1498
angles: 90.00 90.00 120.00
Last column: magnetic moment on the atom in μB.
Element x y z (fractional)
Ge1 0.3333 0.6667 0.7500  -0.01
Ge2 0.6667 0.3333 0.2500  -0.01
Zn1 0.3333 0.6667 0.2500  0.00
Zn2 0.6667 0.3333 0.7500  0.00
Ce1 0.0000 0.0000 0.0000  0.54
Ce2 0.0000 0.0000 0.5000  0.54

***

[5]
The following is a PBEsol calculation of a geometry-optimized Ce2Zn6Ge3 structure, from the Alexandria database.

Properties
Symmetry = P-62m
Formation enthalpy at 0 K = -410.0 kJ/mol of formula units

abc: 4.0033 7.5229 7.5229
angles: 120.00 90.00 90.00
Last column: magnetic moment on the atom in μB.
Element x y z (fractional)
Ce1 0.0000 0.3333 0.6667  0.73
Ce2 0.0000 0.6667 0.3333  0.73
Zn1 0.5000 0.2787 0.2787  0.01
Zn2 0.5000 0.0000 0.7213  0.01
Zn3 0.0000 0.8098 0.8098  0.00
Zn4 0.0000 0.1902 0.0000  0.00
Zn5 0.5000 0.7213 0.0000  0.01
Zn6 0.0000 0.0000 0.1902  0.00
Ge1 0.5000 0.6098 0.6098  0.00
Ge2 0.5000 0.3902 0.0000  0.00
Ge3 0.5000 0.0000 0.3902  0.00

***

[6]
The following is a PBEsol calculation of a geometry-optimized CeNiSnH structure, from the Alexandria database.

Properties
Symmetry = Pnma
Total DFT energy (no corrections) = -5.66 eV/atom

abc: 4.3161 7.1241 8.0977
angles: 90.00 90.00 90.00
Last column: magnetic moment on the atom in μB.
Element x y z (fractional)
Ce1 0.2500 0.4886 0.8046  0.26
Ce2 0.7500 0.5114 0.1954  0.26
Ce3 0.7500 0.0114 0.3046  0.26
Ce4 0.2500 0.9886 0.6954  0.26
Ni1 0.2500 0.7159 0.3973  0.03
Ni2 0.7500 0.2841 0.6027  0.03
Ni3 0.7500 0.7841 0.8973  0.03
Ni4 0.2500 0.2159 0.1027  0.03
Sn1 0.2500 0.8259 0.0740  0.00
Sn2 0.7500 0.1741 0.9260  0.00
Sn3 0.7500 0.6741 0.5740  0.00
Sn4 0.2500 0.3259 0.4260  0.00
H1 0.7500 0.0542 0.5824  0.00
H2 0.2500 0.9458 0.4176  0.00
H3 0.2500 0.4458 0.0824  0.00
H4 0.7500 0.5542 0.9176  0.00

***

[7]
The following is a PBEsol calculation of a geometry-optimized CeH3O3 structure, from the Alexandria database.

Properties
Symmetry = P6_3/m
Total DFT energy (no corrections) = -6.45 eV/atom

abc: 3.6887 6.4205 6.4205
angles: 120.00 90.00 90.00
Last column: magnetic moment on the atom in μB.
Element x y z (fractional)
Ce1 0.2500 0.3333 0.6667  0.94
Ce2 0.7500 0.6667 0.3333  0.94
H1 0.2500 0.2729 0.1381  0.00
H2 0.2500 0.8619 0.1348  0.00
H3 0.2500 0.8652 0.7271  0.00
H4 0.7500 0.7271 0.8619  0.00
H5 0.7500 0.1381 0.8652  0.00
H6 0.7500 0.1348 0.2729  0.00
O1 0.2500 0.3889 0.0810  -0.01
O2 0.2500 0.9190 0.3078  -0.01
O3 0.2500 0.6922 0.6111  -0.01
O4 0.7500 0.6111 0.9190  -0.01
O5 0.7500 0.0810 0.6922  -0.01
O6 0.7500 0.3078 0.3889  -0.01

***

[8]
The following is a PBEsol calculation of a geometry-optimized CeHSO5 structure, from the Alexandria database.

Properties
Symmetry = P2_1/c
Total DFT energy (no corrections) = -7.12 eV/atom

abc: 4.5048 6.7914 12.4669
angles: 90.00 90.00 106.29
Last column: magnetic moment on the atom in μB.
Element x y z (fractional)
Ce1 0.1399 0.8074 0.0641  0.97
Ce2 0.3601 0.6926 0.5641  0.97
Ce3 0.8601 0.1926 0.9359  0.97
Ce4 0.6399 0.3074 0.4359  0.97
H1 0.2665 0.9715 0.8409  0.00
H2 0.2335 0.5285 0.3409  0.00
H3 0.7335 0.0285 0.1591  0.00
H4 0.7665 0.4715 0.6591  0.00
S1 0.4791 0.3857 0.1448  0.00
S2 0.0209 0.1143 0.6448  0.00
S3 0.5209 0.6143 0.8552  0.00
S4 0.9791 0.8857 0.3552  0.00
O1 0.2428 0.2122 0.0947  0.00
O2 0.2572 0.2878 0.5947  0.00
O3 0.7572 0.7879 0.9053  0.00
O4 0.7428 0.7121 0.4053  0.00
O5 0.3557 0.5597 0.1659  0.00
O6 0.1443 0.9403 0.6659  0.00
O7 0.6443 0.4403 0.8341  0.00
O8 0.8557 0.0597 0.3341  0.00
O9 0.7487 0.4500 0.0684  0.00
O10 0.7513 0.0500 0.5684  0.00
O11 0.2513 0.5500 0.9316  0.00
O12 0.2487 0.9500 0.4316  0.00
O13 0.5864 0.3151 0.2454  0.00
O14 0.9136 0.1849 0.7454  0.00
O15 0.4136 0.6849 0.7546  0.00
O16 0.0864 0.8151 0.2546  0.00
O17 0.3095 0.0397 0.9114  -0.01
O18 0.1905 0.4603 0.4114  -0.01
O19 0.6905 0.9603 0.0886  -0.01
O20 0.8095 0.5397 0.5886  -0.01

***

[9]
The following is a PBEsol calculation of a geometry-optimized CeHSe structure, from the Alexandria database.

Properties
Symmetry = P6_3/mmc
Total DFT energy (no corrections) = -5.94 eV/atom

abc: 3.9465 3.9465 7.7277
angles: 90.00 90.00 120.00
Last column: magnetic moment on the atom in μB.
Element x y z (fractional)
H1 0.6667 0.3333 0.2500  -0.01
H2 0.3333 0.6667 0.7500  -0.01
Se1 0.0000 0.0000 0.5000  -0.02
Se2 0.0000 0.0000 0.0000  -0.02
Ce1 0.6667 0.3333 0.7500  0.89
Ce2 0.3333 0.6667 0.2500  0.89

***

[10]
The following is a PBEsol calculation of a geometry-optimized Ce2Zn2Sn2H3 structure, from the Alexandria database.

Properties
Symmetry = P6_3/mmc
Total DFT energy (no corrections) = -4.21 eV/atom

abc: 4.3586 4.3586 17.5080
angles: 90.00 90.00 120.00
Last column: magnetic moment on the atom in μB.
Element x y z (fractional)
H1 0.3333 0.6667 0.9778  0.68
H2 0.6667 0.3333 0.4778  0.68
H3 0.3333 0.6667 0.2486  0.49
H4 0.6667 0.3333 0.7486  0.49
H5 0.3333 0.6667 0.5193  0.00
H6 0.6667 0.3333 0.0193  0.00
Zn1 0.3333 0.6667 0.6282  0.00
Zn2 0.6667 0.3333 0.1282  0.00
Zn3 0.3333 0.6667 0.8689  -0.01
Zn4 0.6667 0.3333 0.3689  -0.01
Sn1 0.3333 0.6667 0.1257  -0.01
Sn2 0.6667 0.3333 0.6257  -0.01
Sn3 0.3333 0.6667 0.3714  0.00
Sn4 0.6667 0.3333 0.8714  0.00
Ce1 0.0000 0.0000 0.9986  0.00
Ce2 0.0000 0.0000 0.4986  0.00
Ce3 0.0000 0.0000 0.2486  0.00
Ce4 0.0000 0.0000 0.7486  0.00

***

[11]
The following is a PBEsol calculation of a geometry-optimized Ce3HfSb5 structure, from the Alexandria database.

Properties
Symmetry = P6_3/mcm
Total DFT energy (no corrections) = -6.82 eV/atom

abc: 6.1957 9.2592 9.2592
angles: 120.00 90.00 90.00
Last column: magnetic moment on the atom in μB.
Element x y z (fractional)
Ce1 0.2500 0.0000 0.3842  0.63
Ce2 0.7500 0.0000 0.6158  0.63
Ce3 0.2500 0.3842 0.0000  0.63
Ce4 0.7500 0.6158 0.0000  0.63
Ce5 0.2500 0.6158 0.6158  0.63
Ce6 0.7500 0.3842 0.3842  0.63
Hf1 0.5000 0.0000 0.0000  0.04
Hf2 0.0000 0.0000 0.0000  0.04
Sb1 0.2500 0.0000 0.7331  -0.02
Sb2 0.7500 0.0000 0.2669  -0.02
Sb3 0.2500 0.7331 0.0000  -0.02
Sb4 0.7500 0.2669 0.0000  -0.02
Sb5 0.2500 0.2669 0.2669  -0.02
Sb6 0.7500 0.7331 0.7331  -0.02
Sb7 0.5000 0.3333 0.6667  -0.02
Sb8 0.5000 0.6667 0.3333  -0.02
Sb9 0.0000 0.6667 0.3333  -0.02
Sb10 0.0000 0.3333 0.6667  -0.02

***

[12]
The following is a PBEsol calculation of a geometry-optimized Ce3Hg structure, from the Alexandria database.

Properties
Symmetry = I4/mmm
Formation enthalpy at 0 K = -38.4 kJ/mol of formula units

abc: 4.5848 4.5848 5.7070
angles: 113.68 113.68 90.00
Last column: magnetic moment on the atom in μB.
Element x y z (fractional)
Hg1 0.0000 0.0000 0.0000  0.36
Ce1 0.2500 0.7500 0.5000  0.36
Ce2 0.7500 0.2500 0.5000  0.32
Ce3 0.5000 0.5000 0.0000  0.00